Sr3Al3Cd8 | GGA-PBE | optimized geometry

Structure (CIF):
```
data_Sr3Al3Cd8
_space_group_name_H-M_alt 'I m m m'
_space_group_IT_number 71
_space_group_name_Hall '-I 2 2'
_cell_length_a 4.8093
_cell_length_b 10.5040
_cell_length_c 14.0951
_cell_angle_alpha 90.00
_cell_angle_beta 90.00
_cell_angle_gamma 90.00
loop_
_atom_site_label
_atom_site_type_symbol
_atom_site_fract_x
_atom_site_fract_y
_atom_site_fract_z
Sr1 Sr 0.0000 0.0000 0.0000
Sr2 Sr 0.0000 0.0000 0.3018
Al1 Al 0.0000 0.1839 0.5000
Al2 Al 0.0000 0.5000 0.0000
Cd1 Cd 0.0000 0.2892 0.1278
Cd2 Cd 0.0000 0.3597 0.3412
```

**Spin magnetization**: 0.00 μB per cell
**Fermi-level density of states**: 4.85 states/eV/f.u.
**Raw total energy**: -53.5 eV/cell